VASP calculation (PBE-GGA) on PaTiAs2 after structural relaxation.

Unit cell a=5.2784 b=5.2784 c=5.2784 alpha=49.71 beta=49.71 gamma=49.71
Last column: nearest neighbours and their distance in Å.
Positions (direct):
Pa 0.0000 0.0000 0.0000  8 As 2.91-3.23
Ti 0.5000 0.5000 0.5000  6 As 2.72
As 0.2334 0.2334 0.2334  3 Ti 2.72, 3 Pa 2.91
As 0.7666 0.7666 0.7666  3 Ti 2.72, 3 Pa 2.91

Results
As for the formation energy from the elements: -77.97 kJ/mol of atoms. As for the space-group type: R-3m (166). The calculation puts the total energy at -7.481 eV/atom. Its excess energy over the best structure of this formula in the dataset is 161 meV per atom.

***

VASP calculation (PBE-GGA) on GaCu4Pd7 after structural relaxation.

Unit cell a=6.3229 b=6.3229 c=8.9566 alpha=124.73 beta=124.73 gamma=42.23
Last column: nearest neighbours and their distance in Å.
Positions (direct):
Ga 0.0000 0.0000 0.0000  4 Pd 2.28-2.46
Cu 0.2961 0.2961 0.6530  8 Pd 2.50-2.70, 1 Cu 2.65
Cu 0.4345 0.4345 0.2213  8 Pd 2.47-2.70, 1 Cu 2.65
Cu 0.5655 0.5655 0.7787  8 Pd 2.47-2.70, 1 Cu 2.65
Cu 0.7039 0.7039 0.3470  8 Pd 2.50-2.70, 1 Cu 2.65
Pd 0.0699 0.0699 0.3213  1 Ga 2.46, 5 Cu 2.50-2.70, 1 Pd 2.70
Pd 0.2169 0.2169 0.8690  4 Cu 2.58-2.70, 2 Pd 2.70-2.78
Pd 0.3481 0.3481 0.4127  5 Cu 2.47-2.68
Pd 0.5000 0.5000 0.0000  2 Ga 2.28, 4 Cu 2.51-2.53
Pd 0.6519 0.6519 0.5873  5 Cu 2.47-2.68
Pd 0.7831 0.7831 0.1310  4 Cu 2.58-2.70, 2 Pd 2.70-2.78
Pd 0.9301 0.9301 0.6787  1 Ga 2.46, 5 Cu 2.50-2.70, 1 Pd 2.70

Results
As for the formation energy from the elements: 4.84 kJ/mol of atoms. As for the space-group type: C2/m (12). The calculation puts the total energy at -4.597 eV/atom. Its excess energy over the best structure of this formula in the dataset is 267 meV per atom.

***

VASP calculation (PBE-GGA) on Y2Mg2Ag after structural relaxation.

Unit cell a=8.1322 b=8.1322 c=8.1322 alpha=148.89 beta=148.89 gamma=44.57
Last column: nearest neighbours and their distance in Å.
Positions (direct):
Y 0.2500 0.7500 0.5000  4 Y 3.08, 4 Mg 3.24
Y 0.7500 0.2500 0.5000  4 Y 3.08, 4 Mg 3.24
Mg 0.0904 0.0904 0.0000  1 Mg 2.72
Mg 0.9096 0.9096 0.0000  1 Mg 2.72
Ag 0.5000 0.5000 0.0000  8 Mg 3.37

Results
As for the formation energy from the elements: 40.23 kJ/mol of atoms. As for the space-group type: I4/mmm (139). The calculation puts the total energy at -3.377 eV/atom. Its excess energy over the best structure of this formula in the dataset is 579 meV per atom.

***

VASP calculation (PBE-GGA) on SrOs2Ru after structural relaxation.

Unit cell a=5.8473 b=5.8473 c=5.8473 alpha=151.87 beta=129.47 gamma=58.83
Last column: nearest neighbours and their distance in Å.
Positions (direct):
Sr 0.0000 0.0000 0.0000  2 Sr 2.84, 4 Os 2.87
Os 0.5009 0.5009 0.0000  4 Os 2.59-2.84, 2 Ru 2.63, 4 Sr 2.87
Os 0.7133 0.2133 0.5000  4 Os 2.59-2.84
Ru 0.2842 0.7842 0.5000  2 Os 2.63, 2 Ru 2.84

Results
As for the formation energy from the elements: 79.93 kJ/mol of atoms. As for the space-group type: Imm2 (44). The calculation puts the total energy at -7.526 eV/atom. Its excess energy over the best structure of this formula in the dataset is 223 meV per atom.

***

VASP calculation (PBE-GGA) on CsHg2F4 after structural relaxation.

Unit cell a=6.0710 b=6.0710 c=9.8892 alpha=90.00 beta=90.00 gamma=116.75
Last column: nearest neighbours and their distance in Å.
Positions (direct):
Cs 0.0000 0.0000 0.2500  8 F 3.07-3.09
Cs 0.0000 0.0000 0.7500  8 F 3.07-3.09
Hg 0.2708 0.6144 0.0000  3 F 2.20-2.39
Hg 0.3856 0.7292 0.5000  3 F 2.20-2.39
Hg 0.6144 0.2708 0.5000  3 F 2.20-2.39
Hg 0.7292 0.3856 0.0000  3 F 2.20-2.39
F 0.0000 0.5000 0.1904  2 Hg 2.39
F 0.0000 0.5000 0.8096  2 Hg 2.39
F 0.2234 0.3238 0.5000  1 Hg 2.20
F 0.3238 0.2234 0.0000  1 Hg 2.20
F 0.5000 0.0000 0.3096  2 Hg 2.39
F 0.5000 0.0000 0.6904  2 Hg 2.39
F 0.6762 0.7766 0.0000  1 Hg 2.20
F 0.7766 0.6762 0.5000  1 Hg 2.20

Results
As for the space-group type: Cccm (66). The calculation puts the total energy at -2.864 eV/atom. Its excess energy over the best structure of this formula in the dataset is 42 meV per atom. For the formation energy from raw total energies, the calculation gives -1587 meV/atom.

***

VASP calculation (PBE-GGA) on La2Nd4Ho after structural relaxation.

Unit cell a=7.2195 b=8.8402 c=9.1268 alpha=114.43 beta=101.30 gamma=101.63
Last column: nearest neighbours and their distance in Å.
Positions (direct):
La 0.0000 0.0000 0.0000  3 Ho 3.58-3.64, 7 Nd 3.76-3.86, 3 La 3.76-3.82
La 0.0844 0.7340 0.5806  4 Nd 3.23-3.57
La 0.3985 0.4304 0.1503  7 Nd 3.45-3.76, 2 Ho 3.66-3.78, 1 La 3.79
La 0.7174 0.1478 0.7208  4 Nd 3.24-3.58
Nd 0.1103 0.5606 0.8566  3 La 3.44-3.76, 6 Nd 3.55-3.78, 2 Ho 3.74-3.83
Nd 0.2219 0.1523 0.7189  3 La 3.23-3.58, 1 Ho 3.40
Nd 0.3021 0.8837 0.2991  7 Nd 3.57-3.88, 2 Ho 3.76-3.81, 4 La 3.76-3.92
Nd 0.5765 0.7266 0.5764  3 La 3.24-3.57, 1 Nd 3.41, 1 Ho 3.63
Nd 0.6021 0.5618 0.8558  7 Nd 3.41-3.78, 2 La 3.68-3.76, 2 Ho 3.74-3.79
Nd 0.6930 0.3159 0.4399  3 La 3.45-3.71, 3 Ho 3.61-3.63, 6 Nd 3.65-3.79
Nd 0.7976 0.8831 0.3018  7 Nd 3.57-3.86, 4 La 3.76-3.93, 2 Ho 3.79-3.83
Nd 0.9018 0.4401 0.1513  5 La 3.47-3.82, 4 Nd 3.70-3.86, 2 Ho 3.71-3.86
Ho 0.1935 0.3175 0.4415  8 Nd 3.40-3.81, 3 La 3.59-3.67
Ho 0.5013 0.9968 0.9938  5 La 3.58-3.78, 8 Nd 3.63-3.86

Results
As for the formation energy from the elements: 4.32 kJ/mol of atoms. As for the space-group type: P1 (1). The calculation puts the total energy at -4.742 eV/atom. Its excess energy over the best structure of this formula in the dataset is 0 meV per atom.

***

VASP calculation (PBE-GGA) on YTl2 after structural relaxation.

Unit cell a=6.6160 b=6.6160 c=6.6160 alpha=147.36 beta=147.36 gamma=46.83
Last column: nearest neighbours and their distance in Å.
Positions (direct):
Y 0.0000 0.0000 0.0000  8 Tl 3.33, 4 Y 3.72
Tl 0.3322 0.3322 0.0000  4 Tl 3.30, 4 Y 3.33
Tl 0.6678 0.6678 0.0000  4 Tl 3.30, 4 Y 3.33

Results
As for the formation energy from the elements: -13.71 kJ/mol of atoms. As for the space-group type: I4/mmm (139). The calculation puts the total energy at -3.874 eV/atom.

***

VASP calculation (PBE-GGA) on Sm2ErCd3 after structural relaxation.

Unit cell a=5.3424 b=5.3424 c=13.1358 alpha=90.00 beta=90.00 gamma=120.00
Last column: nearest neighbours and their distance in Å.
Positions (direct):
Sm 0.0000 0.0000 0.0000  8 Cd 3.28-3.33
Sm 0.0000 0.0000 0.5000  8 Cd 3.24-3.27
Sm 0.3333 0.6667 0.1697  8 Cd 3.27-3.35
Sm 0.6667 0.3333 0.8303  8 Cd 3.27-3.35
Er 0.3333 0.6667 0.6670  8 Cd 3.25-3.28
Er 0.6667 0.3333 0.3330  8 Cd 3.25-3.28
Cd 0.0000 0.0000 0.2532  5 Sm 3.24-3.33, 3 Er 3.26
Cd 0.0000 0.0000 0.7468  5 Sm 3.24-3.33, 3 Er 3.26
Cd 0.3333 0.6667 0.4183  4 Sm 3.27, 4 Er 3.27-3.28
Cd 0.3333 0.6667 0.9145  1 Er 3.25, 7 Sm 3.28-3.35
Cd 0.6667 0.3333 0.0855  1 Er 3.25, 7 Sm 3.28-3.35
Cd 0.6667 0.3333 0.5817  4 Sm 3.27, 4 Er 3.27-3.28

Results
As for the formation energy from the elements: -30.24 kJ/mol of atoms. As for the space-group type: P-3m1 (164). The calculation puts the total energy at -3.105 eV/atom.

***

VASP calculation (PBE-GGA) on Pr7Sm2In2 after structural relaxation.

Unit cell a=10.7689 b=10.7689 c=10.7689 alpha=159.92 beta=67.85 gamma=115.97
Last column: nearest neighbours and their distance in Å.
Positions (direct):
Pr 0.0000 0.0000 0.0000  3 In 3.35-3.51
Pr 0.1350 0.7836 0.3514  2 In 3.26, 2 Sm 3.51, 2 Pr 3.65
Pr 0.4322 0.7836 0.6486  2 In 3.26, 2 Sm 3.51, 2 Pr 3.65
Pr 0.4592 0.5637 0.8955  3 In 3.45-3.47, 2 Sm 3.61, 7 Pr 3.66-3.79
Pr 0.6369 0.3144 0.3225  1 In 3.24, 3 Sm 3.39-3.49
Pr 0.6682 0.5637 0.1045  3 In 3.45-3.47, 2 Sm 3.61, 7 Pr 3.66-3.79
Pr 0.9919 0.3144 0.6775  1 In 3.24, 3 Sm 3.39-3.49
Sm 0.2747 0.0513 0.2233  7 Pr 3.39-3.61, 2 Sm 3.76
Sm 0.8280 0.0513 0.7767  7 Pr 3.39-3.61, 2 Sm 3.76
In 0.3074 0.3074 0.0000  7 Pr 3.26-3.51
In 0.7574 0.2574 0.5000  8 Pr 3.24-3.45

Results
As for the formation energy from the elements: -4.67 kJ/mol of atoms. As for the space-group type: Imm2 (44). The calculation puts the total energy at -4.446 eV/atom.

***

VASP calculation (PBE-GGA) on Zn2Cd2As after structural relaxation.

Unit cell a=7.9792 b=7.9792 c=3.1184 alpha=90.00 beta=90.00 gamma=90.00
Last column: nearest neighbours and their distance in Å.
Positions (direct):
Zn 0.1697 0.3303 0.0000  6 Cd 2.72-2.89, 2 As 2.96
Zn 0.3303 0.8303 0.0000  6 Cd 2.72-2.89, 2 As 2.96
Zn 0.6697 0.1697 0.0000  6 Cd 2.72-2.89, 2 As 2.96
Zn 0.8303 0.6697 0.0000  6 Cd 2.72-2.89, 2 As 2.96
Cd 0.1328 0.6328 0.5000  6 Zn 2.72-2.89, 1 Cd 3.00
Cd 0.3672 0.1328 0.5000  6 Zn 2.72-2.89, 1 Cd 3.00
Cd 0.6328 0.8672 0.5000  6 Zn 2.72-2.89, 1 Cd 3.00
Cd 0.8672 0.3672 0.5000  6 Zn 2.72-2.89, 1 Cd 3.00
As 0.0000 0.0000 0.0000  4 Zn 2.96, 2 As 3.12
As 0.5000 0.5000 0.0000  4 Zn 2.96, 2 As 3.12

Results
As for the formation energy from the elements: 20.29 kJ/mol of atoms. As for the space-group type: P4/mbm (127). The calculation puts the total energy at -1.595 eV/atom. Its excess energy over the best structure of this formula in the dataset is 41 meV per atom.

***

VASP calculation (PBE-GGA) on HfVOs2 after structural relaxation.

Unit cell a=5.6784 b=5.6784 c=5.6784 alpha=103.49 beta=103.49 gamma=122.23
Last column: nearest neighbours and their distance in Å.
Positions (direct):
Hf 0.0000 0.0000 0.0000  2 V 2.74, 4 Os 2.78
Hf 0.7500 0.2500 0.5000  2 V 2.74, 4 Os 2.78
V 0.2500 0.7500 0.5000  4 Os 2.40
V 0.5000 0.5000 0.0000  4 Os 2.40
Os 0.1647 0.1250 0.5397  2 V 2.40
Os 0.3750 0.8353 0.9603  2 V 2.40
Os 0.5853 0.6250 0.4603  2 V 2.40
Os 0.8750 0.4147 0.0397  2 V 2.40

Results
As for the formation energy from the elements: 29.43 kJ/mol of atoms. As for the space-group type: I-42d (122). The calculation puts the total energy at -10.078 eV/atom.

***

VASP calculation (PBE-GGA) on NaCuSi2Te6 after structural relaxation.

Unit cell a=9.7282 b=9.7282 c=7.1731 alpha=102.69 beta=102.69 gamma=89.37
Last column: nearest neighbours and their distance in Å.
Positions (direct):
Na 0.1463 0.8537 0.7500  6 Te 3.17-3.30
Na 0.8537 0.1463 0.2500  6 Te 3.17-3.30
Cu 0.2062 0.7938 0.2500  4 Te 2.58-2.66
Cu 0.7938 0.2062 0.7500  4 Te 2.58-2.66
Si 0.2302 0.3694 0.8018  4 Te 2.54-2.57
Si 0.3694 0.2302 0.3018  4 Te 2.54-2.57
Si 0.6306 0.7698 0.6982  4 Te 2.54-2.57
Si 0.7698 0.6306 0.1982  4 Te 2.54-2.57
Te 0.0483 0.1663 0.6732  1 Si 2.54, 1 Cu 2.66
Te 0.1140 0.5932 0.9472  1 Si 2.56, 1 Cu 2.58
Te 0.1663 0.0483 0.1732  1 Si 2.54, 1 Cu 2.66
Te 0.2990 0.4540 0.5198  2 Si 2.56-2.57
Te 0.4068 0.8860 0.5528  1 Si 2.56, 1 Cu 2.58
Te 0.4540 0.2990 0.0198  2 Si 2.56-2.57
Te 0.5460 0.7010 0.9802  2 Si 2.56-2.57
Te 0.5932 0.1140 0.4472  1 Si 2.56, 1 Cu 2.58
Te 0.7010 0.5460 0.4802  2 Si 2.56-2.57
Te 0.8337 0.9517 0.8268  1 Si 2.54, 1 Cu 2.66
Te 0.8860 0.4068 0.0528  1 Si 2.56, 1 Cu 2.58
Te 0.9517 0.8337 0.3268  1 Si 2.54, 1 Cu 2.66

Results
As for the space-group type: C2/c (15). The calculation puts the total energy at -3.595 eV/atom. For the formation energy from raw total energies, the calculation gives -84 meV/atom.